Compound: LaZnO2
Source: the Alexandria database
Functional: PBE-GGA
Structure: optimized geometry

Formation energy (no corrections) = -2189 meV per atom
Space-group type = R-3m (166)

Unit cell a=6.4439 b=6.4439 c=6.4439 alpha=34.05 beta=34.05 gamma=34.05
Last column: nearest neighbours and their distance in Å.
Fractional coordinates of all 4 atoms:
Zn (0.0000, 0.0000, 0.0000)  2 O 1.95
O (0.8926, 0.8926, 0.8926)  1 Zn 1.95
O (0.1074, 0.1074, 0.1074)  1 Zn 1.95
La (0.5000, 0.5000, 0.5000)  6 O 2.43

Compound: La2ZnO
Source: the Alexandria database
Functional: PBE-GGA
Structure: optimized geometry

Distance to the lowest polymorph of the same formula = 323 meV per atom
Formation energy (no corrections) = -1067 meV per atom
Space-group type = R-3m (166)

Unit cell a=3.6819 b=3.6819 c=9.3704 alpha=78.67 beta=78.67 gamma=60.00
Last column: nearest neighbours and their distance in Å.
Fractional coordinates of all 4 atoms:
Zn (0.0000, 0.0000, 0.0000)  2 La 3.17
O (0.5000, 0.5000, 0.5000)  6 La 2.54
La (0.1159, 0.1159, 0.6523)  3 O 2.54
La (0.8841, 0.8841, 0.3477)  3 O 2.54

Compound: La12Zn3O5
Source: the Alexandria database
Functional: PBE-GGA
Structure: optimized geometry

Formation energy (no corrections) = -1446 meV per atom
Space-group type = Ia-3d (230)

Unit cell a=14.0916 b=14.0916 c=14.0916 alpha=109.47 beta=109.47 gamma=109.47
Last column: nearest neighbours and their distance in Å.
Fractional coordinates of all 80 atoms:
Zn (0.7500, 0.3750, 0.1250)  8 La 3.25-3.29
Zn (0.8750, 0.7500, 0.1250)  8 La 3.25-3.29
Zn (0.3750, 0.7500, 0.6250)  8 La 3.25-3.29
Zn (0.2500, 0.1250, 0.3750)  8 La 3.25-3.29
Zn (0.8750, 0.1250, 0.2500)  8 La 3.25-3.29
Zn (0.3750, 0.6250, 0.2500)  8 La 3.25-3.29
Zn (0.6250, 0.3750, 0.7500)  8 La 3.25-3.29
Zn (0.1250, 0.8750, 0.7500)  8 La 3.25-3.29
Zn (0.7500, 0.8750, 0.6250)  8 La 3.25-3.29
Zn (0.6250, 0.2500, 0.3750)  8 La 3.25-3.29
Zn (0.1250, 0.2500, 0.8750)  8 La 3.25-3.29
Zn (0.2500, 0.6250, 0.8750)  8 La 3.25-3.29
O (0.1250, 0.3750, 0.2500)  4 La 2.34
O (0.0000, 0.5000, 0.0000)  6 La 2.63
O (0.0000, 0.0000, 0.0000)  6 La 2.63
O (0.3750, 0.2500, 0.1250)  4 La 2.34
O (0.5000, 0.0000, 0.5000)  6 La 2.63
O (0.5000, 0.5000, 0.0000)  6 La 2.63
O (0.1250, 0.7500, 0.3750)  4 La 2.34
O (0.7500, 0.1250, 0.8750)  4 La 2.34
O (0.7500, 0.6250, 0.3750)  4 La 2.34
O (0.3750, 0.1250, 0.7500)  4 La 2.34
O (0.6250, 0.8750, 0.2500)  4 La 2.34
O (0.5000, 0.5000, 0.5000)  6 La 2.63
O (0.5000, 0.0000, 0.0000)  6 La 2.63
O (0.0000, 0.0000, 0.5000)  6 La 2.63
O (0.2500, 0.3750, 0.6250)  4 La 2.34
O (0.2500, 0.8750, 0.1250)  4 La 2.34
O (0.0000, 0.5000, 0.5000)  6 La 2.63
O (0.8750, 0.2500, 0.6250)  4 La 2.34
O (0.6250, 0.7500, 0.8750)  4 La 2.34
O (0.8750, 0.6250, 0.7500)  4 La 2.34
La (0.7010, 0.1100, 0.0148)  1 O 2.34
La (0.3138, 0.5148, 0.4049)  1 O 2.34
La (0.9852, 0.3900, 0.2990)  1 O 2.34
La (0.5148, 0.2010, 0.1100)  1 O 2.34
La (0.5910, 0.7010, 0.6862)  1 O 2.34
La (0.9852, 0.5951, 0.1862)  1 O 2.34
La (0.3138, 0.7990, 0.4090)  1 O 2.34
La (0.0951, 0.9090, 0.1100)  1 O 2.34
La (0.5951, 0.9852, 0.6862)  1 O 2.34
La (0.7010, 0.5910, 0.1862)  1 O 2.34
La (0.7990, 0.4852, 0.3900)  1 O 2.34
La (0.8138, 0.9049, 0.0148)  1 O 2.34
La (0.1100, 0.7010, 0.5148)  1 O 2.34
La (0.3900, 0.4049, 0.0910)  1 O 2.34
La (0.0910, 0.9049, 0.3900)  1 O 2.34
La (0.4090, 0.1100, 0.5951)  1 O 2.34
La (0.0910, 0.1862, 0.2010)  1 O 2.34
La (0.4852, 0.6862, 0.0951)  1 O 2.34
La (0.8138, 0.9090, 0.2990)  1 O 2.34
La (0.1100, 0.4090, 0.0951)  1 O 2.34
La (0.3900, 0.9852, 0.7990)  1 O 2.34
La (0.5951, 0.6100, 0.4090)  1 O 2.34
La (0.9049, 0.8138, 0.5148)  1 O 2.34
La (0.7990, 0.3138, 0.9090)  1 O 2.34
La (0.4049, 0.3900, 0.5910)  1 O 2.34
La (0.0951, 0.1862, 0.4852)  1 O 2.34
La (0.2010, 0.6862, 0.0910)  1 O 2.34
La (0.1862, 0.0910, 0.7010)  1 O 2.34
La (0.6100, 0.0148, 0.2010)  1 O 2.34
La (0.8900, 0.5910, 0.9049)  1 O 2.34
La (0.5148, 0.3138, 0.9049)  1 O 2.34
La (0.5910, 0.8900, 0.4049)  1 O 2.34
La (0.9090, 0.8138, 0.7990)  1 O 2.34
La (0.9090, 0.0951, 0.6100)  1 O 2.34
La (0.8900, 0.2990, 0.4852)  1 O 2.34
La (0.1862, 0.0951, 0.9852)  1 O 2.34
La (0.6100, 0.5951, 0.9090)  1 O 2.34
La (0.4049, 0.0148, 0.3138)  1 O 2.34
La (0.2990, 0.4090, 0.8138)  1 O 2.34
La (0.2010, 0.5148, 0.6100)  1 O 2.34
La (0.9049, 0.0910, 0.8900)  1 O 2.34
La (0.6862, 0.2010, 0.5910)  1 O 2.34
La (0.4852, 0.7990, 0.8900)  1 O 2.34
La (0.0148, 0.4049, 0.8138)  1 O 2.34
La (0.4090, 0.2990, 0.3138)  1 O 2.34
La (0.0148, 0.6100, 0.7010)  1 O 2.34
La (0.6862, 0.4852, 0.5951)  1 O 2.34
La (0.2990, 0.8900, 0.9852)  1 O 2.34

Compound: LaZnO3
Source: the Alexandria database
Functional: PBE-GGA
Structure: optimized geometry

Formation energy (no corrections) = -2097 meV per atom
Space-group type = Pm-3m (221)

Unit cell a=3.8893 b=3.8893 c=3.8893 alpha=90.00 beta=90.00 gamma=90.00
Last column: nearest neighbours and their distance in Å.
Fractional coordinates of all 5 atoms:
Zn (0.0000, 0.0000, 0.0000)  6 O 1.94
O (0.0000, 0.5000, 0.0000)  2 Zn 1.94
O (0.0000, 0.0000, 0.5000)  2 Zn 1.94
O (0.5000, 0.0000, 0.0000)  2 Zn 1.94
La (0.5000, 0.5000, 0.5000)  12 O 2.75

Compound: LaZnO3
Source: the Alexandria database
Functional: PBE-GGA
Structure: optimized geometry

Formation energy (no corrections) = -1039 meV per atom
Space-group type = Pm-3m (221)

Unit cell a=4.4096 b=4.4096 c=4.4096 alpha=90.00 beta=90.00 gamma=90.00
Last column: nearest neighbours and their distance in Å.
Fractional coordinates of all 5 atoms:
Zn (0.5000, 0.5000, 0.5000)  12 O 3.12
O (0.0000, 0.5000, 0.0000)  2 La 2.20
O (0.0000, 0.0000, 0.5000)  2 La 2.20
O (0.5000, 0.0000, 0.0000)  2 La 2.20
La (0.0000, 0.0000, 0.0000)  6 O 2.20

Compound: La2ZnO2
Source: the Alexandria database
Functional: PBE-GGA
Structure: optimized geometry

Formation energy (no corrections) = -2335 meV per atom
Space-group type = I4/mmm (139)

Unit cell a=4.1581 b=4.1581 c=7.0847 alpha=72.93 beta=72.93 gamma=90.00
Last column: nearest neighbours and their distance in Å.
Fractional coordinates of all 5 atoms:
Zn (0.0000, 0.0000, 0.0000)  8 La 3.58, 8 O 3.84
O (0.7500, 0.2500, 0.5000)  4 La 2.39
O (0.2500, 0.7500, 0.5000)  4 La 2.39
La (0.3415, 0.3415, 0.3170)  4 O 2.39
La (0.6585, 0.6585, 0.6830)  4 O 2.39

Compound: La2ZnO
Source: the Alexandria database
Functional: PBE-GGA
Structure: optimized geometry

Distance to the lowest polymorph of the same formula = 0 meV per atom
Formation energy (no corrections) = -1390 meV per atom
Space-group type = I-42d (122)

Unit cell a=7.0182 b=7.0182 c=6.5890 alpha=57.82 beta=57.82 gamma=90.00
Last column: nearest neighbours and their distance in Å.
Fractional coordinates of all 8 atoms:
Zn (0.0000, 0.0000, 0.0000)  4 La 3.12
Zn (0.7500, 0.2500, 0.5000)  4 La 3.12
O (0.5000, 0.5000, 0.0000)  4 La 2.37
O (0.2500, 0.7500, 0.5000)  4 La 2.37
La (0.5416, 0.1250, 0.2500)  2 O 2.37
La (0.2084, 0.6250, 0.2500)  2 O 2.37
La (0.3750, 0.4584, 0.7500)  2 O 2.37
La (0.8750, 0.7916, 0.7500)  2 O 2.37

Compound: La2ZrO
Source: the Alexandria database
Functional: PBE-GGA
Structure: optimized geometry

Formation energy (no corrections) = -947 meV per atom
Space-group type = I-42d (122)

Unit cell a=7.3454 b=7.3454 c=6.6842 alpha=56.67 beta=56.67 gamma=90.00
Last column: nearest neighbours and their distance in Å.
Fractional coordinates of all 8 atoms:
O (0.5000, 0.5000, 0.0000)  4 La 2.33
O (0.2500, 0.7500, 0.5000)  4 La 2.33
Zr (0.0000, 0.0000, 0.0000)  8 La 3.43-3.78
Zr (0.7500, 0.2500, 0.5000)  8 La 3.43-3.78
La (0.5068, 0.1250, 0.2500)  2 O 2.33
La (0.2432, 0.6250, 0.2500)  2 O 2.33
La (0.3750, 0.4932, 0.7500)  2 O 2.33
La (0.8750, 0.7568, 0.7500)  2 O 2.33

Compound: LaZrO
Source: the Alexandria database
Functional: PBE-GGA
Structure: optimized geometry

Formation energy (no corrections) = -1589 meV per atom
Space-group type = C2/m (12)

Unit cell a=3.4919 b=6.3488 c=5.7926 alpha=95.75 beta=107.54 gamma=90.00
Last column: nearest neighbours and their distance in Å.
Fractional coordinates of all 6 atoms:
O (0.7595, 0.2218, 0.5191)  3 Zr 2.27-2.28
O (0.2405, 0.7782, 0.4809)  3 Zr 2.27-2.28
Zr (0.3602, 0.0931, 0.7204)  3 O 2.27-2.28
Zr (0.6398, 0.9069, 0.2796)  3 O 2.27-2.28
La (0.1257, 0.3892, 0.2513)  3 O 2.59-2.66
La (0.8743, 0.6108, 0.7487)  3 O 2.59-2.66

| no. | ρ (g cm⁻³) |
| --- | --- |
| 1 | 5.25 |
| 2 | 5.57 |
| 3 | 5.99 |
| 4 | 7.12 |
| 5 | 4.89 |
| 6 | 5.59 |
| 7 | 5.59 |
| 8 | 5.63 |
| 9 | 6.71 |